Entry 1:
The following is a DFT calculation (GGA-PBE) of crystalline La3Tl2Au at its relaxed geometry.

Cell: 3.7722 3.7722 12.6509 Å, 90.00 90.00 90.00°
Space group P4/mmm (No. 123)
Asymmetric unit:
La 0.0000 0.0000 0.0000 [1 per cell]
La 0.0000 0.0000 0.3525 [2 per cell]
Tl 0.5000 0.5000 0.1757 [2 per cell]
Au 0.5000 0.5000 0.5000 [1 per cell]

## Properties
The calculation puts the electronic total energy at -4.34 eV per atom. The value obtained for the volume is 30.003 Å³ per atom. The formation energy is -3.27 eV per formula unit. The crystal system is tetragonal. As for the size of the total moment: 0.000 μB per cell.


Entry 2:
The following is a DFT calculation (GGA-PBE) of crystalline La2Tl2Au at its relaxed geometry.

Cell: 11.5832 4.7622 11.8743 Å, 90.00 116.05 90.00°
Space group C2/m (No. 12)
Asymmetric unit:
La 0.0115 0.0000 0.3309 [4 per cell]
La 0.1812 0.0000 0.1212 [4 per cell]
Tl 0.0437 0.5000 0.8927 [4 per cell]
Tl 0.1481 0.5000 0.5531 [4 per cell]
Au 0.2157 0.5000 0.3213 [4 per cell]

## Properties
The calculation puts the electronic total energy at -4.07 eV per atom. The value obtained for the volume is 29.424 Å³ per atom. The formation energy is -2.49 eV per formula unit. The crystal system is monoclinic. As for the size of the total moment: 0.000 μB per cell.


Entry 3:
The following is a DFT calculation (GGA-PBE) of crystalline La2TlAu at its relaxed geometry.

Cell: 7.5581 7.5581 7.5581 Å, 90.00 90.00 90.00°
Space group F-43m (No. 216)
Asymmetric unit:
La 0.0000 0.0000 0.0000 [4 per cell]
La 0.2500 0.2500 0.2500 [4 per cell]
Tl 0.0000 0.0000 0.5000 [4 per cell]
Au 0.2500 0.2500 0.7500 [4 per cell]

## Properties
The calculation puts the electronic total energy at -4.08 eV per atom. The value obtained for the volume is 26.985 Å³ per atom. The formation energy is -0.84 eV per formula unit. The crystal system is cubic. As for the size of the total moment: 0.004 μB per cell.


Entry 4:
The following is a DFT calculation (GGA-PBE) of crystalline La2TlAu3 at its relaxed geometry.

Cell: 7.3256 9.7769 17.0044 Å, 90.00 90.00 90.00°
Space group Fmmm (No. 69)
Asymmetric unit:
La 0.2408 0.0000 0.0000 [8 per cell]
La 0.2500 0.2500 0.2500 [8 per cell]
Tl 0.0000 0.0000 0.3341 [8 per cell]
Au 0.0000 0.0000 0.1662 [8 per cell]
Au 0.0000 0.2484 0.0824 [16 per cell]

## Properties
The calculation puts the electronic total energy at -4.36 eV per atom. The value obtained for the volume is 25.373 Å³ per atom. The formation energy is -4.11 eV per formula unit. The crystal system is orthorhombic. As for the size of the total moment: 0.000 μB per cell.


Entry 5:
The following is a DFT calculation (GGA-PBE) of crystalline LaTl2Au9 at its relaxed geometry.

Cell: 5.6637 5.6637 28.2682 Å, 90.00 90.00 120.00°
Space group R-3m (No. 166, hexagonal axes)
Asymmetric unit:
La 0.0000 0.0000 0.0000 [3 per cell]
Tl 0.0000 0.0000 0.1454 [6 per cell]
Au 0.0000 0.0000 0.3325 [6 per cell]
Au 0.0000 0.0000 0.5000 [3 per cell]
Au 0.0008 0.5004 0.9172 [18 per cell]

## Properties
The calculation puts the electronic total energy at -3.49 eV per atom. The value obtained for the volume is 21.813 Å³ per atom. The formation energy is -2.69 eV per formula unit. The crystal system is trigonal. As for the size of the total moment: 0.000 μB per cell.


Entry 6:
The following is a DFT calculation (GGA-PBE) of crystalline La4Tl2Au at its relaxed geometry.

Cell: 5.5133 5.5133 26.7356 Å, 90.00 90.00 120.00°
Space group R-3m (No. 166, hexagonal axes)
Asymmetric unit:
La 0.0000 0.0000 0.1210 [6 per cell]
La 0.0000 0.0000 0.3718 [6 per cell]
Tl 0.0000 0.0000 0.2452 [6 per cell]
Au 0.0000 0.0000 0.0000 [3 per cell]

## Properties
The calculation puts the electronic total energy at -4.34 eV per atom. The value obtained for the volume is 33.514 Å³ per atom. The formation energy is -2.63 eV per formula unit. The crystal system is trigonal. As for the size of the total moment: 2.854 μB per cell.


Entry 7:
The following is a DFT calculation (GGA-PBE) of crystalline La2TlAu at its relaxed geometry.

Cell: 4.1540 4.1540 26.3467 Å, 90.00 90.00 120.00°
Space group R-3m (No. 166, hexagonal axes)
Asymmetric unit:
La 0.0000 0.0000 0.2405 [6 per cell]
Tl 0.0000 0.0000 0.0000 [3 per cell]
Au 0.0000 0.0000 0.5000 [3 per cell]

## Properties
The calculation puts the electronic total energy at -4.33 eV per atom. The value obtained for the volume is 32.811 Å³ per atom. The formation energy is -1.84 eV per formula unit. The crystal system is trigonal. As for the size of the total moment: 0.004 μB per cell.


Entry 8:
The following is a DFT calculation (GGA-PBE) of crystalline La2TlAu at its relaxed geometry.

Cell: 4.1073 4.1073 7.2004 Å, 90.00 90.00 90.00°
Space group P4mm (No. 99)
Asymmetric unit:
La 0.0000 0.0000 0.0000 [1 per cell]
La 0.5000 0.5000 0.3294 [1 per cell]
Tl 0.0000 0.0000 0.5552 [1 per cell]
Au 0.5000 0.5000 0.8217 [1 per cell]

## Properties
The calculation puts the electronic total energy at -4.24 eV per atom. The value obtained for the volume is 30.368 Å³ per atom. The formation energy is -1.47 eV per formula unit. The crystal system is tetragonal. As for the size of the total moment: 0.698 μB per cell.


Entry 9:
The following is a DFT calculation (GGA-PBE) of crystalline LaTlAu3 at its relaxed geometry.

Cell: 5.6904 5.6904 5.6904 Å, 90.00 90.00 90.00°
Space group Pm-3m (No. 221)
Asymmetric unit:
La 0.0000 0.0000 0.0000 [1 per cell]
Tl 0.5000 0.5000 0.5000 [1 per cell]
Au 0.0000 0.0000 0.5000 [3 per cell]

## Properties
The calculation puts the electronic total energy at -3.31 eV per atom. The value obtained for the volume is 36.852 Å³ per atom. The formation energy is 0.58 eV per formula unit. The crystal system is cubic. As for the size of the total moment: 0.000 μB per cell.


Entry 10:
The following is a DFT calculation (GGA-PBE) of crystalline LaTlAu3 at its relaxed geometry.

Cell: 3.6762 27.4658 4.8474 Å, 90.00 90.00 90.00°
Space group Cmcm (No. 63)
Asymmetric unit:
La 0.0000 0.0752 0.2500 [4 per cell]
Tl 0.0000 0.2135 0.7500 [4 per cell]
Au 0.0000 0.3232 0.7500 [4 per cell]
Au 0.0000 0.3760 0.2500 [4 per cell]
Au 0.0000 0.4760 0.2500 [4 per cell]

## Properties
The calculation puts the electronic total energy at -3.93 eV per atom. The value obtained for the volume is 24.472 Å³ per atom. The formation energy is -2.54 eV per formula unit. The crystal system is orthorhombic. As for the size of the total moment: 0.000 μB per cell.


Entry 11:
The following is a DFT calculation (GGA-PBE) of crystalline La3TlAu2 at its relaxed geometry.

Cell: 3.7849 3.7849 11.9452 Å, 90.00 90.00 90.00°
Space group P4/mmm (No. 123)
Asymmetric unit:
La 0.0000 0.0000 0.0000 [1 per cell]
La 0.0000 0.0000 0.3148 [2 per cell]
Tl 0.5000 0.5000 0.5000 [1 per cell]
Au 0.5000 0.5000 0.1595 [2 per cell]

## Properties
The calculation puts the electronic total energy at -4.61 eV per atom. The value obtained for the volume is 28.520 Å³ per atom. The formation energy is -3.97 eV per formula unit. The crystal system is tetragonal. As for the size of the total moment: 0.003 μB per cell.


Entry 12:
The following is a DFT calculation (GGA-PBE) of crystalline La2TlAu at its relaxed geometry.

Cell: 3.8038 3.8038 8.1009 Å, 90.00 90.00 90.00°
Space group P4/mmm (No. 123)
Asymmetric unit:
La 0.0000 0.0000 0.2275 [2 per cell]
Tl 0.5000 0.5000 0.5000 [1 per cell]
Au 0.5000 0.5000 0.0000 [1 per cell]

## Properties
The calculation puts the electronic total energy at -4.48 eV per atom. The value obtained for the volume is 29.303 Å³ per atom. The formation energy is -2.41 eV per formula unit. The crystal system is tetragonal. As for the size of the total moment: 0.000 μB per cell.